1) Pr3Br2N2: relaxed, PBE.

- ρ (Mg/m³) = 5.43

```
data_Pr3Br2N2
_chemical_formula_sum 'Pr12 Br8 N8'
_symmetry_space_group_name_H-M 'C 1 2/m 1'
_symmetry_Int_Tables_number 12
_symmetry_space_group_name_Hall '-C 2y'
_cell_length_a 17.748
_cell_length_b 3.934
_cell_length_c 12.595
_cell_angle_alpha 90.00
_cell_angle_beta 121.82
_cell_angle_gamma 90.00
loop_
_atom_site_label
_atom_site_fract_x
_atom_site_fract_y
_atom_site_fract_z
Pr1 0.083 0.000 0.457
Pr2 0.087 0.500 0.189
Pr3 0.106 0.500 0.757
Br1 0.084 0.000 0.962
Br2 0.242 0.000 0.343
N1 0.048 0.500 0.327
N2 0.075 0.000 0.642
```

2) Pr3Br2N2: relaxed, PBE.

- ρ (Mg/m³) = 5.84

```
data_Pr3Br2N2
_chemical_formula_sum 'Pr3 Br2 N2'
_symmetry_space_group_name_H-M 'P -1'
_symmetry_Int_Tables_number 2
_symmetry_space_group_name_Hall '-P 1'
_cell_length_a 3.667
_cell_length_b 6.500
_cell_length_c 7.700
_cell_angle_alpha 99.25
_cell_angle_beta 90.00
_cell_angle_gamma 106.31
loop_
_atom_site_label
_atom_site_fract_x
_atom_site_fract_y
_atom_site_fract_z
Pr1 0.000 0.000 0.000
Pr2 0.227 0.453 0.802
Br1 0.119 0.237 0.380
N1 0.363 0.725 0.059
```

Of them, 1) has the lowest stability.

1) PtBr2N: relaxed, PBE.

- ρ (Mg/m³) = 7.22

```
data_PtBr2N
_chemical_formula_sum 'Pt4 Br8 N4'
_symmetry_space_group_name_H-M 'I -4 2 d'
_symmetry_Int_Tables_number 122
_symmetry_space_group_name_Hall 'I -4 2bw'
_cell_length_a 5.138
_cell_length_b 5.138
_cell_length_c 12.857
_cell_angle_alpha 90.00
_cell_angle_beta 90.00
_cell_angle_gamma 90.00
loop_
_atom_site_label
_atom_site_fract_x
_atom_site_fract_y
_atom_site_fract_z
Pt1 0.000 0.000 0.000
Br1 0.208 0.250 0.625
N1 0.000 0.000 0.500
```

2) PtBr2N: relaxed, PBE.

- ρ (Mg/m³) = 7.51

```
data_PtBr2N
_chemical_formula_sum 'Pt3 Br6 N3'
_symmetry_space_group_name_H-M 'R -3 m'
_symmetry_Int_Tables_number 166
_symmetry_space_group_name_Hall '-R 3 2"'
_cell_length_a 3.4610
_cell_length_b 3.4610
_cell_length_c 23.5900
_cell_angle_alpha 90.00
_cell_angle_beta 90.00
_cell_angle_gamma 120.00
loop_
_atom_site_label
_atom_site_fract_x
_atom_site_fract_y
_atom_site_fract_z
Pt1 0.0000 0.0000 0.0000
Br1 0.0000 0.0000 0.1004
N1 0.0000 0.0000 0.5000
```

3) PtBr2N: relaxed, PBE.

- ρ (Mg/m³) = 8.33

```
data_PtBr2N
_chemical_formula_sum 'Pt4 Br8 N4'
_symmetry_space_group_name_H-M 'F m -3 m'
_symmetry_Int_Tables_number 225
_symmetry_space_group_name_Hall '-F 4 2 3'
_cell_length_a 6.649
_cell_length_b 6.649
_cell_length_c 6.649
_cell_angle_alpha 90.00
_cell_angle_beta 90.00
_cell_angle_gamma 90.00
loop_
_atom_site_label
_atom_site_fract_x
_atom_site_fract_y
_atom_site_fract_z
Pt1 0.000 0.000 0.000
Br1 0.250 0.250 0.250
N1 0.000 0.000 0.500
```

Of them, 3) has the lowest stability.

1) PtBr3N2: relaxed, PBE.

- ρ (Mg/m³) = 3.02

```
data_PtBr3N2
_chemical_formula_sum 'Pt2 Br6 N4'
_symmetry_space_group_name_H-M 'I m m 2'
_symmetry_Int_Tables_number 44
_symmetry_space_group_name_Hall 'I 2 -2'
_cell_length_a 8.636
_cell_length_b 8.872
_cell_length_c 6.635
_cell_angle_alpha 90.00
_cell_angle_beta 90.00
_cell_angle_gamma 90.00
loop_
_atom_site_label
_atom_site_fract_x
_atom_site_fract_y
_atom_site_fract_z
Pt1 0.000 0.000 0.000
Br1 0.000 0.000 0.636
Br2 0.136 0.500 0.113
N1 0.000 0.171 0.130
```

2) PtBr3N2: relaxed, PBE.

- ρ (Mg/m³) = 5.03

```
data_PtBr3N2
_chemical_formula_sum 'Pt2 Br6 N4'
_symmetry_space_group_name_H-M 'I m m m'
_symmetry_Int_Tables_number 71
_symmetry_space_group_name_Hall '-I 2 2'
_cell_length_a 5.380
_cell_length_b 6.732
_cell_length_c 8.428
_cell_angle_alpha 90.00
_cell_angle_beta 90.00
_cell_angle_gamma 90.00
loop_
_atom_site_label
_atom_site_fract_x
_atom_site_fract_y
_atom_site_fract_z
Pt1 0.000 0.000 0.000
Br1 0.000 0.000 0.302
Br2 0.000 0.500 0.500
N1 0.000 0.271 0.000
```

Of them, 2) has the lowest stability.

1) PtSBrN2: relaxed, PBE.

- ρ (Mg/m³) = 4.77

```
data_PtSBrN2
_chemical_formula_sum 'Pt1 S1 Br1 N2'
_symmetry_space_group_name_H-M 'P 4/m m m'
_symmetry_Int_Tables_number 123
_symmetry_space_group_name_Hall '-P 4 2'
_cell_length_a 3.742
_cell_length_b 3.742
_cell_length_c 8.322
_cell_angle_alpha 90.00
_cell_angle_beta 90.00
_cell_angle_gamma 90.00
loop_
_atom_site_label
_atom_site_fract_x
_atom_site_fract_y
_atom_site_fract_z
Pt1 0.000 0.000 0.000
S1 0.000 0.000 0.500
Br1 0.500 0.500 0.500
N1 0.000 0.500 0.000
```

2) PtSBrN2: relaxed, PBE.

- ρ (Mg/m³) = 5.59

```
data_PtSBrN2
_chemical_formula_sum 'Pt1 S1 Br1 N2'
_symmetry_space_group_name_H-M 'P 4/m m m'
_symmetry_Int_Tables_number 123
_symmetry_space_group_name_Hall '-P 4 2'
_cell_length_a 3.628
_cell_length_b 3.628
_cell_length_c 7.555
_cell_angle_alpha 90.00
_cell_angle_beta 90.00
_cell_angle_gamma 90.00
loop_
_atom_site_label
_atom_site_fract_x
_atom_site_fract_y
_atom_site_fract_z
Pt1 0.000 0.000 0.000
S1 0.500 0.500 0.000
Br1 0.500 0.500 0.500
N1 0.000 0.500 0.500
```

Of them, 2) has the lowest stability.

1) PtSeBr2N: relaxed, PBE.

- ρ (Mg/m³) = 7.96

```
data_PtSeBr2N
_chemical_formula_sum 'Pt1 Se1 Br2 N1'
_symmetry_space_group_name_H-M 'P 4/m m m'
_symmetry_Int_Tables_number 123
_symmetry_space_group_name_Hall '-P 4 2'
_cell_length_a 4.422
_cell_length_b 4.422
_cell_length_c 4.782
_cell_angle_alpha 90.00
_cell_angle_beta 90.00
_cell_angle_gamma 90.00
loop_
_atom_site_label
_atom_site_fract_x
_atom_site_fract_y
_atom_site_fract_z
Pt1 0.000 0.000 0.000
Se1 0.500 0.500 0.000
Br1 0.000 0.500 0.500
N1 0.500 0.500 0.500
```

2) PtSeBr2N: relaxed, PBE.

- ρ (Mg/m³) = 5.81

```
data_PtSeBr2N
_chemical_formula_sum 'Pt1 Se1 Br2 N1'
_symmetry_space_group_name_H-M 'P 4/m m m'
_symmetry_Int_Tables_number 123
_symmetry_space_group_name_Hall '-P 4 2'
_cell_length_a 5.156
_cell_length_b 5.156
_cell_length_c 4.815
_cell_angle_alpha 90.00
_cell_angle_beta 90.00
_cell_angle_gamma 90.00
loop_
_atom_site_label
_atom_site_fract_x
_atom_site_fract_y
_atom_site_fract_z
Pt1 0.000 0.000 0.000
Se1 0.000 0.000 0.500
Br1 0.000 0.500 0.000
N1 0.500 0.500 0.500
```

Of them, 2) has the lowest stability.

1) YPtBrN2: relaxed, PBE.

- ρ (Mg/m³) = 7.17

```
data_YPtBrN2
_chemical_formula_sum 'Y1 Pt1 Br1 N2'
_symmetry_space_group_name_H-M 'P 4/m m m'
_symmetry_Int_Tables_number 123
_symmetry_space_group_name_Hall '-P 4 2'
_cell_length_a 3.939
_cell_length_b 3.939
_cell_length_c 5.847
_cell_angle_alpha 90.00
_cell_angle_beta 90.00
_cell_angle_gamma 90.00
loop_
_atom_site_label
_atom_site_fract_x
_atom_site_fract_y
_atom_site_fract_z
Y1 0.000 0.000 0.000
Pt1 0.000 0.000 0.500
Br1 0.500 0.500 0.000
N1 0.000 0.500 0.500
```

2) YPtBrN2: relaxed, PBE.

- ρ (Mg/m³) = 7.80

```
data_YPtBrN2
_chemical_formula_sum 'Y1 Pt1 Br1 N2'
_symmetry_space_group_name_H-M 'P 4/m m m'
_symmetry_Int_Tables_number 123
_symmetry_space_group_name_Hall '-P 4 2'
_cell_length_a 4.189
_cell_length_b 4.189
_cell_length_c 4.756
_cell_angle_alpha 90.00
_cell_angle_beta 90.00
_cell_angle_gamma 90.00
loop_
_atom_site_label
_atom_site_fract_x
_atom_site_fract_y
_atom_site_fract_z
Y1 0.000 0.000 0.000
Pt1 0.500 0.500 0.000
Br1 0.500 0.500 0.500
N1 0.000 0.500 0.500
```

Of them, 2) has the lowest stability.

1) Rb2BrN2: relaxed, PBE.

- ρ (Mg/m³) = 2.96

```
data_Rb2BrN2
_chemical_formula_sum 'Rb4 Br2 N4'
_symmetry_space_group_name_H-M 'C 1 2/m 1'
_symmetry_Int_Tables_number 12
_symmetry_space_group_name_Hall '-C 2y'
_cell_length_a 8.245
_cell_length_b 4.741
_cell_length_c 8.664
_cell_angle_alpha 90.00
_cell_angle_beta 112.36
_cell_angle_gamma 90.00
loop_
_atom_site_label
_atom_site_fract_x
_atom_site_fract_y
_atom_site_fract_z
Rb1 0.231 0.000 0.238
Br1 0.000 0.000 0.500
N1 0.044 0.500 0.960
```

2) Rb2BrN2: relaxed, PBE.

- ρ (Mg/m³) = 3.37

```
data_Rb2BrN2
_chemical_formula_sum 'Rb4 Br2 N4'
_symmetry_space_group_name_H-M 'P 4/m b m'
_symmetry_Int_Tables_number 127
_symmetry_space_group_name_Hall '-P 4 2ab'
_cell_length_a 8.318
_cell_length_b 8.318
_cell_length_c 3.969
_cell_angle_alpha 90.00
_cell_angle_beta 90.00
_cell_angle_gamma 90.00
loop_
_atom_site_label
_atom_site_fract_x
_atom_site_fract_y
_atom_site_fract_z
Rb1 0.225 0.275 0.000
Br1 0.000 0.000 0.500
N1 0.050 0.550 0.500
```

Of them, 2) has the lowest stability.

1) RbBrN: relaxed, PBE.

- ρ (Mg/m³) = 2.67

```
data_RbBrN
_chemical_formula_sum 'Rb4 Br4 N4'
_symmetry_space_group_name_H-M 'C 1 2/m 1'
_symmetry_Int_Tables_number 12
_symmetry_space_group_name_Hall '-C 2y'
_cell_length_a 10.301
_cell_length_b 6.240
_cell_length_c 6.957
_cell_angle_alpha 90.00
_cell_angle_beta 91.33
_cell_angle_gamma 90.00
loop_
_atom_site_label
_atom_site_fract_x
_atom_site_fract_y
_atom_site_fract_z
Rb1 0.173 0.000 0.249
Br1 0.168 0.000 0.755
N1 0.046 0.500 0.543
```

2) RbBrN: relaxed, PBE.

- ρ (Mg/m³) = 2.99

```
data_RbBrN
_chemical_formula_sum 'Rb4 Br4 N4'
_symmetry_space_group_name_H-M 'C 1 2/m 1'
_symmetry_Int_Tables_number 12
_symmetry_space_group_name_Hall '-C 2y'
_cell_length_a 12.547
_cell_length_b 4.984
_cell_length_c 8.942
_cell_angle_alpha 90.00
_cell_angle_beta 134.47
_cell_angle_gamma 90.00
loop_
_atom_site_label
_atom_site_fract_x
_atom_site_fract_y
_atom_site_fract_z
Rb1 0.002 0.000 0.290
Br1 0.216 0.500 0.720
N1 0.013 0.500 0.073
```

Of them, 2) has the lowest stability.

1) RbBr3N: relaxed, PBE.

- ρ (Mg/m³) = 2.08

```
data_RbBr3N
_chemical_formula_sum 'Rb1 Br3 N1'
_symmetry_space_group_name_H-M 'P m -3 m'
_symmetry_Int_Tables_number 221
_symmetry_space_group_name_Hall '-P 4 2 3'
_cell_length_a 6.473
_cell_length_b 6.473
_cell_length_c 6.473
_cell_angle_alpha 90.00
_cell_angle_beta 90.00
_cell_angle_gamma 90.00
loop_
_atom_site_label
_atom_site_fract_x
_atom_site_fract_y
_atom_site_fract_z
Rb1 0.000 0.000 0.000
Br1 0.000 0.000 0.500
N1 0.500 0.500 0.500
```

2) RbBr3N: relaxed, PBE.

- ρ (Mg/m³) = 4.60

```
data_RbBr3N
_chemical_formula_sum 'Rb1 Br3 N1'
_symmetry_space_group_name_H-M 'P 4/m m m'
_symmetry_Int_Tables_number 123
_symmetry_space_group_name_Hall '-P 4 2'
_cell_length_a 4.902
_cell_length_b 4.902
_cell_length_c 5.095
_cell_angle_alpha 90.00
_cell_angle_beta 90.00
_cell_angle_gamma 90.00
loop_
_atom_site_label
_atom_site_fract_x
_atom_site_fract_y
_atom_site_fract_z
Rb1 0.000 0.000 0.000
Br1 0.000 0.500 0.500
Br2 0.500 0.500 0.000
N1 0.500 0.500 0.500
```

Of them, 1) has the lowest stability.

1) RbTe2BrN: relaxed, PBE.

- ρ (Mg/m³) = 3.26

```
data_RbTe2BrN
_chemical_formula_sum 'Rb1 Te2 Br1 N1'
_symmetry_space_group_name_H-M 'P 4/m m m'
_symmetry_Int_Tables_number 123
_symmetry_space_group_name_Hall '-P 4 2'
_cell_length_a 6.861
_cell_length_b 6.861
_cell_length_c 4.705
_cell_angle_alpha 90.00
_cell_angle_beta 90.00
_cell_angle_gamma 90.00
loop_
_atom_site_label
_atom_site_fract_x
_atom_site_fract_y
_atom_site_fract_z
Rb1 0.000 0.000 0.000
Te1 0.000 0.500 0.000
Br1 0.500 0.500 0.500
N1 0.000 0.000 0.500
```

2) RbTe2BrN: relaxed, PBE.

- ρ (Mg/m³) = 3.95

```
data_RbTe2BrN
_chemical_formula_sum 'Rb1 Te2 Br1 N1'
_symmetry_space_group_name_H-M 'P 4/m m m'
_symmetry_Int_Tables_number 123
_symmetry_space_group_name_Hall '-P 4 2'
_cell_length_a 4.585
_cell_length_b 4.585
_cell_length_c 8.686
_cell_angle_alpha 90.00
_cell_angle_beta 90.00
_cell_angle_gamma 90.00
loop_
_atom_site_label
_atom_site_fract_x
_atom_site_fract_y
_atom_site_fract_z
Rb1 0.000 0.000 0.000
Te1 0.000 0.500 0.500
Br1 0.500 0.500 0.000
N1 0.500 0.500 0.500
```

Of them, 1) has the lowest stability.

1) RbTeBrN2: relaxed, PBE.

- ρ (Mg/m³) = 2.60

```
data_RbTeBrN2
_chemical_formula_sum 'Rb1 Te1 Br1 N2'
_symmetry_space_group_name_H-M 'P 4/m m m'
_symmetry_Int_Tables_number 123
_symmetry_space_group_name_Hall '-P 4 2'
_cell_length_a 5.237
_cell_length_b 5.237
_cell_length_c 7.460
_cell_angle_alpha 90.00
_cell_angle_beta 90.00
_cell_angle_gamma 90.00
loop_
_atom_site_label
_atom_site_fract_x
_atom_site_fract_y
_atom_site_fract_z
Rb1 0.000 0.000 0.000
Te1 0.000 0.000 0.500
Br1 0.500 0.500 0.500
N1 0.000 0.500 0.000
```

2) RbTeBrN2: relaxed, PBE.

- ρ (Mg/m³) = 3.60

```
data_RbTeBrN2
_chemical_formula_sum 'Rb1 Te1 Br1 N2'
_symmetry_space_group_name_H-M 'P 4/m m m'
_symmetry_Int_Tables_number 123
_symmetry_space_group_name_Hall '-P 4 2'
_cell_length_a 5.064
_cell_length_b 5.064
_cell_length_c 5.772
_cell_angle_alpha 90.00
_cell_angle_beta 90.00
_cell_angle_gamma 90.00
loop_
_atom_site_label
_atom_site_fract_x
_atom_site_fract_y
_atom_site_fract_z
Rb1 0.000 0.000 0.000
Te1 0.500 0.500 0.000
Br1 0.500 0.500 0.500
N1 0.000 0.500 0.500
```

Of them, 1) has the lowest stability.